1.
P2C (PBE, optimized geometry); symmetry = P-62m; calculated formation energy = 1.00 eV/atom; crystal system = hexagonal; energy relative to the lowest polymorph listed for this composition = 573 meV/atom; total moment = 0.000 μB/atom
1.0
2.627 -4.551 0.000
2.627 4.551 0.000
0.000 0.000 5.472
P C
6 3
direct
0.000 0.666 0.500
0.320 0.000 0.000
0.000 0.320 0.000
0.680 0.680 0.000
0.334 0.334 0.500
0.666 0.000 0.500
0.000 0.000 0.500
0.333 0.667 0.000
0.667 0.333 0.000

***

2.
CaPm3Cd2 (PBE, optimized geometry); symmetry = Pmc2_1; calculated formation energy = -0.20 eV/atom; crystal system = orthorhombic; energy relative to the lowest polymorph listed for this composition = 0 meV/atom; total moment = 0.000 μB/atom
1.0
-2.670 4.420 1.581
-5.914 -3.713 0.391
1.959 -2.142 9.297
Pm Cd Ca
6 4 2
direct
0.000 0.815 0.676
0.000 0.484 0.955
0.000 0.984 0.045
0.500 0.183 0.828
0.500 0.683 0.172
0.000 0.315 0.324
0.500 0.724 0.847
0.000 0.276 0.652
0.000 0.776 0.348
0.500 0.224 0.153
0.500 0.517 0.540
0.500 0.017 0.460

***

3.
LiTmTiFe (PBE, optimized geometry); symmetry = F-43m; calculated formation energy = 0.08 eV/atom; crystal system = cubic; total moment = 0.000 μB/atom
1.0
4.518 0.000 0.000
2.259 3.912 0.000
2.259 1.304 3.689
Tm Li Fe Ti
1 1 1 1
direct
0.500 0.500 0.500
0.250 0.250 0.250
0.750 0.750 0.750
0.000 0.000 0.000

***

4.
BiP2SO (PBE, optimized geometry); symmetry = P4/mmm; crystal system = tetragonal; energy relative to the lowest polymorph listed for this composition = 0 meV/atom; total moment = 0.000 μB/atom; formation energy without anion corrections = 0.35 eV per atom
1.0
-3.921 -0.315 0.230
0.275 -3.881 -0.622
0.433 -0.943 6.077
Bi P S O
1 2 1 1
direct
0.500 0.500 0.500
0.000 0.500 0.000
0.500 0.000 0.000
0.000 0.000 0.500
0.000 0.000 0.000

***

5.
TcP3N (PBE, optimized geometry); symmetry = Pm-3m; crystal system = cubic; total moment = 0.000 μB/atom; formation energy without anion corrections = 1.54 eV per atom
1.0
-0.278 -4.211 -1.628
-1.290 -1.489 4.071
-4.326 0.715 -1.110
P Tc N
3 1 1
direct
0.000 0.500 0.000
0.000 0.000 0.500
0.500 0.000 0.000
0.000 0.000 0.000
0.500 0.500 0.500

***

6.
LaReNi2Pb (PBE, optimized geometry); symmetry = P4/mmm; calculated formation energy = 1.02 eV/atom; crystal system = tetragonal; total moment = 0.000 μB/atom
1.0
-1.198 4.400 1.322
-3.584 0.143 -3.727
-3.207 -1.779 3.015
Pb Ni Re La
1 2 1 1
direct
0.000 0.000 0.000
0.500 0.000 0.000
0.000 0.000 0.500
0.000 0.500 0.000
0.500 0.500 0.500

***

7.
TlPbCl2 (PBE, optimized geometry); symmetry = I-42d; crystal system = tetragonal; energy relative to the lowest polymorph listed for this composition = 209 meV/atom; total moment = 0.000 μB/atom; formation energy without anion corrections = -0.60 eV per atom
1.0
-1.361 -3.295 3.960
4.336 -2.945 -0.960
6.424 2.162 7.592
Cl Tl Pb
4 2 2
direct
0.096 0.625 0.250
0.375 0.346 0.750
0.875 0.904 0.750
0.654 0.125 0.250
0.500 0.500 0.000
0.250 0.750 0.500
0.750 0.250 0.500
0.000 0.000 0.000

***

8.
RbLaScC2 (PBE, optimized geometry); symmetry = P4/mmm; calculated formation energy = 2.60 eV/atom; crystal system = tetragonal; total moment = 0.055 μB/atom
1.0
-3.510 1.797 2.869
1.074 -3.165 3.296
3.196 3.121 1.955
Sc Rb C La
1 1 2 1
direct
0.000 0.500 0.000
0.000 0.000 0.000
0.500 0.000 0.000
0.000 0.000 0.500
0.500 0.500 0.500

***

9.
ZnInTe2 (PBE, optimized geometry); symmetry = Cmmm; crystal system = orthorhombic; total moment = 0.000 μB/atom; formation energy without anion corrections = 0.16 eV per atom
1.0
-3.825 -4.814 -0.354
4.088 0.549 -4.574
2.130 -1.817 1.686
In Zn Te
1 1 2
direct
0.000 0.500 0.500
0.500 0.000 0.500
0.000 0.000 0.000
0.500 0.500 0.000

***

10.
Sm2MgMn (PBE, optimized geometry); symmetry = Fm-3m; calculated formation energy = 0.11 eV/atom; crystal system = cubic; energy relative to the lowest polymorph listed for this composition = 41 meV/atom; total moment = 0.827 μB/atom
1.0
-4.320 -2.761 -1.296
0.148 -5.286 -0.019
-2.603 -2.731 3.706
Sm Mn Mg
2 1 1
direct
0.750 0.750 0.750
0.250 0.250 0.250
0.000 0.000 0.000
0.500 0.500 0.500

***

11.
Li2PdPbCl8 (PBE, optimized geometry); symmetry = P-1; crystal system = triclinic; total moment = 0.000 μB/atom; formation energy without anion corrections = -1.01 eV per atom
1.0
6.414 -0.541 -0.229
-0.583 6.583 1.454
-0.011 1.781 8.042
Cl Pb Li Pd
8 1 2 1
direct
0.601 0.714 0.565
0.152 0.807 0.870
0.848 0.193 0.130
0.107 0.761 0.283
0.680 0.757 0.036
0.893 0.239 0.717
0.320 0.243 0.964
0.399 0.286 0.435
0.000 0.000 0.500
0.483 0.683 0.299
0.517 0.317 0.701
0.000 0.000 0.000

***

12.
RbNpBO4 (PBE, optimized geometry); symmetry = Cmcm; crystal system = orthorhombic; total moment = 0.429 μB/atom; formation energy without anion corrections = -2.24 eV per atom
1.0
-5.206 -3.039 0.157
4.631 -3.729 1.004
-0.483 1.168 6.564
O Rb Np B
8 2 2 2
direct
0.800 0.200 0.565
0.848 0.806 0.250
0.152 0.194 0.750
0.800 0.200 0.935
0.200 0.800 0.065
0.194 0.152 0.250
0.806 0.848 0.750
0.200 0.800 0.435
0.500 0.500 0.500
0.500 0.500 0.000
0.847 0.153 0.250
0.153 0.847 0.750
0.882 0.118 0.750
0.118 0.882 0.250

***

Number 1 is which compound? P2C

***

What is the formula in the third record? LiTmTiFe

***

The highest total moment belongs to which entry? Sm2MgMn